Below is a geometry-optimized LaPb3I structure, with properties calculated at the GGA-PBE level.

Unit cell a=5.913 b=5.913 c=5.913 alpha=90.00 beta=90.00 gamma=90.00
Space group Pm-3m (No. 221)
Unique sites:
La: 0.000 0.000 0.000 x1
Pb: 0.000 0.500 0.500 x3
I: 0.500 0.500 0.500 x1

polymorph energy (0 for the lowest one)	0.00	eV/f.u.
total moment	0.0	μB/f.u.
theoretical density	7.1	g/cm³
N(E_F)	6.735	states/eV/f.u.